# 1
# CrFeN2 GGA-PBE optimized geometry
# energy relative to the lowest polymorph listed for this composition	0.000	eV per atom
data_CrFeN2
_symmetry_space_group_name_H-M 'I -4 2 d'
_symmetry_Int_Tables_number 122
_symmetry_space_group_name_Hall 'I -4 2bw'
_cell_length_a 4.255
_cell_length_b 4.255
_cell_length_c 8.791
_cell_angle_alpha 90.00
_cell_angle_beta 90.00
_cell_angle_gamma 90.00
loop_
_atom_site_label
_atom_site_type_symbol
_atom_site_fract_x
_atom_site_fract_y
_atom_site_fract_z
Cr1 Cr 0.000 0.000 0.000
Fe1 Fe 0.000 0.000 0.500
N1 N 0.246 0.250 0.625

***

# 2
Crystalline Cr8Fe3N8 at its relaxed geometry, computed with GGA-PBE.

```
data_Cr8Fe3N8
_symmetry_space_group_name_H-M 'C 1 2/m 1'
_symmetry_Int_Tables_number 12
_cell_length_a 15.909
_cell_length_b 3.965
_cell_length_c 5.986
_cell_angle_alpha 90.00
_cell_angle_beta 107.10
_cell_angle_gamma 90.00
loop_
_symmetry_equiv_pos_as_xyz
'x,y,z'
'-x,-y,-z'
'-x,y,-z'
'x,-y,z'
'x+1/2,y+1/2,z'
'-x+1/2,-y+1/2,-z'
'-x+1/2,y+1/2,-z'
'x+1/2,-y+1/2,z'
loop_
_atom_site_label
_atom_site_type_symbol
_atom_site_fract_x
_atom_site_fract_y
_atom_site_fract_z
Cr1 Cr 0.024 0.000 0.256
Cr2 Cr 0.091 0.500 0.960
Cr3 Cr 0.158 0.500 0.495
Cr4 Cr 0.209 0.000 0.809
Fe1 Fe 0.000 0.500 0.500
Fe2 Fe 0.185 0.000 0.225
N1 N 0.038 0.500 0.233
N2 N 0.101 0.000 0.931
N3 N 0.145 0.000 0.480
N4 N 0.204 0.500 0.838
```

***

# 3
# CrFeN GGA-PBE optimized geometry
# energy relative to the lowest polymorph listed for this composition	0.000	eV per atom
data_CrFeN
_symmetry_space_group_name_H-M 'P -6 m 2'
_symmetry_Int_Tables_number 187
_symmetry_space_group_name_Hall 'P -6 2'
_cell_length_a 2.6348
_cell_length_b 2.6348
_cell_length_c 9.1471
_cell_angle_alpha 90.00
_cell_angle_beta 90.00
_cell_angle_gamma 120.00
loop_
_atom_site_label
_atom_site_type_symbol
_atom_site_fract_x
_atom_site_fract_y
_atom_site_fract_z
Cr1 Cr 0.0000 0.0000 0.1387
Fe1 Fe 0.3333 0.6667 0.3660
N1 N 0.6667 0.3333 0.0000
N2 N 0.6667 0.3333 0.5000

***

# 4
Crystalline Cr2Fe9N8 at its relaxed geometry, computed with GGA-PBE.

```
data_Cr2Fe9N8
_symmetry_space_group_name_H-M 'C 1 2/m 1'
_symmetry_Int_Tables_number 12
_cell_length_a 14.206
_cell_length_b 4.036
_cell_length_c 6.470
_cell_angle_alpha 90.00
_cell_angle_beta 107.88
_cell_angle_gamma 90.00
loop_
_symmetry_equiv_pos_as_xyz
'x,y,z'
'-x,-y,-z'
'-x,y,-z'
'x,-y,z'
'x+1/2,y+1/2,z'
'-x+1/2,-y+1/2,-z'
'-x+1/2,y+1/2,-z'
'x+1/2,-y+1/2,z'
loop_
_atom_site_label
_atom_site_type_symbol
_atom_site_fract_x
_atom_site_fract_y
_atom_site_fract_z
Cr1 Cr 0.220 0.000 0.176
Fe1 Fe 0.000 0.500 0.500
Fe2 Fe 0.035 0.000 0.233
Fe3 Fe 0.096 0.500 0.974
Fe4 Fe 0.142 0.000 0.685
Fe5 Fe 0.178 0.500 0.408
N1 N 0.043 0.500 0.231
N2 N 0.103 0.000 0.942
N3 N 0.140 0.500 0.702
N4 N 0.177 0.000 0.418
```

***

# 5
# CrFeN2 GGA-PBE optimized geometry
# energy relative to the lowest polymorph listed for this composition	0.746	eV per atom
data_CrFeN2
_symmetry_space_group_name_H-M 'F m -3 m'
_symmetry_Int_Tables_number 225
_symmetry_space_group_name_Hall '-F 4 2 3'
_cell_length_a 5.011
_cell_length_b 5.011
_cell_length_c 5.011
_cell_angle_alpha 90.00
_cell_angle_beta 90.00
_cell_angle_gamma 90.00
loop_
_atom_site_label
_atom_site_type_symbol
_atom_site_fract_x
_atom_site_fract_y
_atom_site_fract_z
Cr1 Cr 0.000 0.000 0.000
Fe1 Fe 0.000 0.000 0.500
N1 N 0.250 0.250 0.250

***

# 6
Crystalline CrFeN3 at its relaxed geometry, computed with GGA-PBE.

```
data_CrFeN3
_symmetry_space_group_name_H-M 'P m -3 m'
_symmetry_Int_Tables_number 221
_symmetry_space_group_name_Hall '-P 4 2 3'
_cell_length_a 3.575
_cell_length_b 3.575
_cell_length_c 3.575
_cell_angle_alpha 90.00
_cell_angle_beta 90.00
_cell_angle_gamma 90.00
loop_
_atom_site_label
_atom_site_type_symbol
_atom_site_fract_x
_atom_site_fract_y
_atom_site_fract_z
Cr1 Cr 0.000 0.000 0.000
Fe1 Fe 0.500 0.500 0.500
N1 N 0.000 0.500 0.500
```

***

# 7
Crystalline Cr2Fe3N4 at its relaxed geometry, computed with GGA-PBE.

```
data_Cr2Fe3N4
_symmetry_space_group_name_H-M 'C 1 2/c 1'
_symmetry_Int_Tables_number 15
_cell_length_a 8.771
_cell_length_b 7.430
_cell_length_c 5.317
_cell_angle_alpha 90.00
_cell_angle_beta 97.38
_cell_angle_gamma 90.00
loop_
_symmetry_equiv_pos_as_xyz
'x,y,z'
'-x,-y,-z'
'-x,y,-z+1/2'
'x,-y,z+1/2'
'x+1/2,y+1/2,z'
'-x+1/2,-y+1/2,-z'
'-x+1/2,y+1/2,-z+1/2'
'x+1/2,-y+1/2,z+1/2'
loop_
_atom_site_label
_atom_site_type_symbol
_atom_site_fract_x
_atom_site_fract_y
_atom_site_fract_z
Cr1 Cr 0.164 0.133 0.367
Fe1 Fe 0.000 0.162 0.750
Fe2 Fe 0.128 0.454 0.908
N1 N 0.114 0.328 0.578
N2 N 0.147 0.085 0.022
```

***

# 8
# CrFeN GGA-PBE optimized geometry
# energy relative to the lowest polymorph listed for this composition	0.249	eV per atom
data_CrFeN
_symmetry_space_group_name_H-M 'I 4 m m'
_symmetry_Int_Tables_number 107
_symmetry_space_group_name_Hall 'I 4 -2'
_cell_length_a 2.544
_cell_length_b 2.544
_cell_length_c 8.863
_cell_angle_alpha 90.00
_cell_angle_beta 90.00
_cell_angle_gamma 90.00
loop_
_atom_site_label
_atom_site_type_symbol
_atom_site_fract_x
_atom_site_fract_y
_atom_site_fract_z
Cr1 Cr 0.000 0.000 0.000
Fe1 Fe 0.000 0.000 0.282
N1 N 0.000 0.000 0.591

***

# 9
# CrFeN2 GGA-PBE optimized geometry
# energy relative to the lowest polymorph listed for this composition	0.319	eV per atom
data_CrFeN2
_symmetry_space_group_name_H-M 'R -3 m'
_symmetry_Int_Tables_number 166
_symmetry_space_group_name_Hall '-R 3 2"'
_cell_length_a 2.7497
_cell_length_b 2.7497
_cell_length_c 17.9346
_cell_angle_alpha 90.00
_cell_angle_beta 90.00
_cell_angle_gamma 120.00
loop_
_atom_site_label
_atom_site_type_symbol
_atom_site_fract_x
_atom_site_fract_y
_atom_site_fract_z
Cr1 Cr 0.0000 0.0000 0.0000
Fe1 Fe 0.0000 0.0000 0.5000
N1 N 0.0000 0.0000 0.3975

***

# 10
# CrFeN2 GGA-PBE optimized geometry
# energy relative to the lowest polymorph listed for this composition	0.205	eV per atom
data_CrFeN2
_symmetry_space_group_name_H-M 'P 63/m m c'
_symmetry_Int_Tables_number 194
_symmetry_space_group_name_Hall '-P 6c 2c'
_cell_length_a 2.7436
_cell_length_b 2.7436
_cell_length_c 10.0889
_cell_angle_alpha 90.00
_cell_angle_beta 90.00
_cell_angle_gamma 120.00
loop_
_atom_site_label
_atom_site_type_symbol
_atom_site_fract_x
_atom_site_fract_y
_atom_site_fract_z
Cr1 Cr 0.3333 0.6667 0.2500
Fe1 Fe 0.0000 0.0000 0.0000
N1 N 0.3333 0.6667 0.6278

***

# 11
Crystalline CrFeN3 at its relaxed geometry, computed with GGA-PBE.

```
data_CrFeN3
_symmetry_space_group_name_H-M 'P m -3 m'
_symmetry_Int_Tables_number 221
_symmetry_space_group_name_Hall '-P 4 2 3'
_cell_length_a 3.673
_cell_length_b 3.673
_cell_length_c 3.673
_cell_angle_alpha 90.00
_cell_angle_beta 90.00
_cell_angle_gamma 90.00
loop_
_atom_site_label
_atom_site_type_symbol
_atom_site_fract_x
_atom_site_fract_y
_atom_site_fract_z
Cr1 Cr 0.000 0.000 0.000
Fe1 Fe 0.500 0.500 0.500
N1 N 0.000 0.000 0.500
```

***

# 12
Crystalline CrFe2N at its relaxed geometry, computed with GGA-PBE.

```
data_CrFe2N
_symmetry_space_group_name_H-M 'I -4 2 d'
_symmetry_Int_Tables_number 122
_symmetry_space_group_name_Hall 'I -4 2bw'
_cell_length_a 4.694
_cell_length_b 4.694
_cell_length_c 8.637
_cell_angle_alpha 90.00
_cell_angle_beta 90.00
_cell_angle_gamma 90.00
loop_
_atom_site_label
_atom_site_type_symbol
_atom_site_fract_x
_atom_site_fract_y
_atom_site_fract_z
Cr1 Cr 0.000 0.000 0.000
Fe1 Fe 0.176 0.250 0.625
N1 N 0.000 0.000 0.500
```

***

| no. | E_form (uncorrected) (eV per atom) |
| --- | --- |
| 1 | -0.2792 |
| 2 | -0.2031 |
| 3 | -0.1500 |
| 4 | 0.0489 |
| 5 | 0.4667 |
| 6 | 1.2799 |
| 7 | -0.0888 |
| 8 | 0.0994 |
| 9 | 0.0394 |
| 10 | -0.0745 |
| 11 | 0.9147 |
| 12 | 0.4219 |